DFT (PBE with a Hubbard U) results for a geometry-optimized Mo2AsF structure.

Calculated values
Electronic total energy, eV/atom: -5.152
Polymorph energy (0 for the lowest one), meV per atom: 67
Fermi-level density of states, states/eV per cell: 2.7
Crystal system: cubic
Total magnetic moment, μB per atom: 2.00

a = 6.6036 Å, b = 6.6036 Å, c = 6.6036 Å
α = 90.00°, β = 90.00°, γ = 90.00°
Closest atoms and distances in Å follow each position.
Space group Fm-3m (No. 225)
Asymmetric unit:
Mo (0.2500, 0.2500, 0.2500) (multiplicity 8)  4 F 2.86, 4 As 2.86
As (0.0000, 0.0000, 0.0000) (multiplicity 4)  8 Mo 2.86
F (0.0000, 0.0000, 0.5000) (multiplicity 4)  8 Mo 2.86